(1)
Material: CoNi2Mo
Method: DFT, PBE
State: relaxed

Cell lengths 2.541, 4.071, 9.437 Å; angles 90.00, 97.70, 90.00 degrees
Space group P2_1/m (No. 11)
One atom of each set of equivalent atoms:
Co 0.159 0.250 0.319 x2
Ni 0.032 0.250 0.065 x2
Ni 0.229 0.750 0.458 x2
Mo 0.406 0.250 0.811 x2

Final energy in eV per atom: -7.343
Volume in Å³ per atom: 12.1
Polymorph energy (0 for the lowest one) in meV/atom: 83.3
DOS(E_F) in states/eV per atom: 1.27
Magnetic moment in μB/f.u.: 2.07


(2)
Material: Pa3CoRh2
Method: DFT, PBE
State: relaxed

Cell lengths 11.903, 6.069, 6.976 Å; angles 90.00, 105.80, 90.00 degrees
Space group C2/c (No. 15)
One atom of each set of equivalent atoms:
Pa 0.000 0.120 0.250 x4
Pa 0.160 0.405 0.609 x8
Co 0.000 0.367 0.750 x4
Rh 0.160 0.109 0.029 x8

Final energy in eV per atom: -8.941
Volume in Å³ per atom: 20.2
DOS(E_F) in states/eV per atom: 1.21
Magnetic moment in μB/f.u.: 0.00


(3)
Material: MgTlSbPb
Method: DFT, PBE
State: relaxed

Cell lengths 4.895, 4.890, 9.467 Å; angles 90.00, 90.17, 90.00 degrees
Space group Cm (No. 8)
One atom of each set of equivalent atoms:
Mg 0.000 0.000 0.000 x2
Tl 0.499 0.500 0.490 x2
Sb 0.002 0.500 0.205 x2
Pb 0.001 0.500 0.770 x2

Formation energy from raw total energies in eV per atom: -0.050
Final energy in eV per atom: -2.998
Volume in Å³ per atom: 28.3
Polymorph energy (0 for the lowest one) in meV/atom: 0.0
DOS(E_F) in states/eV per atom: 0.44
Magnetic moment in μB/f.u.: 0.00


(4)
Material: NpZn17Au
Method: DFT, PBE
State: relaxed

Cell lengths 8.9763, 8.9763, 13.3803 Å; angles 90.00, 90.00, 120.00 degrees
Space group R3m (No. 160, hexagonal axes)
One atom of each set of equivalent atoms:
Np 0.0000 0.0000 0.0000 x3
Zn 0.0000 0.0000 0.5637 x3
Zn 0.0000 0.0000 0.7632 x3
Zn 0.0017 0.5009 0.5124 x9
Zn 0.0308 0.3559 0.3338 x18
Zn 0.1679 0.3359 0.1484 x9
Zn 0.1696 0.3393 0.5048 x9
Au 0.0000 0.0000 0.2292 x3

Final energy in eV per atom: -2.017
Volume in Å³ per atom: 16.4
DOS(E_F) in states/eV per atom: 0.84
Magnetic moment in μB/f.u.: 4.45


(5)
Material: SiTeMo
Method: DFT, PBE
State: relaxed

Cell lengths 3.369, 3.494, 5.202 Å; angles 90.00, 105.00, 90.00 degrees
Space group Pm (No. 6)
One atom of each set of equivalent atoms:
Si 0.000 0.000 0.000 x1
Te 0.234 0.500 0.564 x1
Mo 0.553 0.500 0.126 x1

Formation energy from raw total energies in eV per atom: 0.153
Final energy in eV per atom: -6.312
Volume in Å³ per atom: 19.7
Polymorph energy (0 for the lowest one) in meV/atom: 72.2
DOS(E_F) in states/eV per atom: 0.54
Magnetic moment in μB/f.u.: 0.00


(6)
Material: Ce4Bi8Rh3
Method: DFT, PBE
State: relaxed

Cell lengths 4.623, 4.623, 18.880 Å; angles 90.00, 90.00, 90.00 degrees
Space group P-4m2 (No. 115)
One atom of each set of equivalent atoms:
Ce 0.000 0.500 0.106 x2
Ce 0.000 0.500 0.613 x2
Bi 0.000 0.000 0.246 x2
Bi 0.000 0.500 0.413 x2
Bi 0.000 0.500 0.921 x2
Bi 0.500 0.500 0.246 x2
Rh 0.000 0.000 0.000 x1
Rh 0.000 0.000 0.500 x1
Rh 0.500 0.500 0.500 x1

Final energy in eV per atom: -5.701
Volume in Å³ per atom: 26.9
DOS(E_F) in states/eV per atom: 1.43
Magnetic moment in μB/f.u.: 1.27


(7)
Material: InAs3Ru
Method: DFT, PBE
State: relaxed

Cell lengths 4.854, 4.854, 4.854 Å; angles 90.00, 90.00, 90.00 degrees
Space group Pm-3m (No. 221)
One atom of each set of equivalent atoms:
In 0.000 0.000 0.000 x1
As 0.000 0.500 0.500 x3
Ru 0.500 0.500 0.500 x1

Final energy in eV per atom: -4.805
Volume in Å³ per atom: 22.9
Polymorph energy (0 for the lowest one) in meV/atom: 0.0
DOS(E_F) in states/eV per atom: 1.01
Magnetic moment in μB/f.u.: 0.00


(8)
Material: In2AgCl4
Method: DFT, PBE
State: relaxed

Cell lengths 5.218, 5.218, 14.845 Å; angles 90.00, 90.00, 90.00 degrees
Space group I4/mmm (No. 139)
One atom of each set of equivalent atoms:
In 0.000 0.000 0.136 x4
Ag 0.000 0.000 0.500 x2
Cl 0.000 0.000 0.324 x4
Cl 0.000 0.500 0.000 x4

Formation energy from raw total energies in eV per atom: -0.623
Final energy in eV per atom: -2.867
Volume in Å³ per atom: 28.9
DOS(E_F) in states/eV per atom: 0.68
Magnetic moment in μB/f.u.: 0.00


(9)
Material: K2PuCuTe4
Method: DFT, PBE
State: relaxed

Cell lengths 8.344, 8.344, 7.616 Å; angles 90.00, 90.00, 90.00 degrees
Space group I-42m (No. 121)
One atom of each set of equivalent atoms:
K 0.000 0.500 0.000 x4
Pu 0.000 0.000 0.000 x2
Cu 0.000 0.000 0.500 x2
Te 0.175 0.175 0.287 x8

Formation energy from raw total energies in eV per atom: -0.584
Final energy in eV per atom: -4.733
Volume in Å³ per atom: 33.1
DOS(E_F) in states/eV per atom: 2.02
Magnetic moment in μB/f.u.: 3.67


(10)
Material: Pm4MgIn
Method: DFT, PBE
State: relaxed

Cell lengths 9.327, 5.208, 9.418 Å; angles 90.00, 112.15, 90.00 degrees
Space group C2/m (No. 12)
One atom of each set of equivalent atoms:
Pm 0.122 0.000 0.374 x4
Pm 0.126 0.500 0.874 x4
Mg 0.000 0.000 0.000 x2
In 0.000 0.500 0.500 x2

Final energy in eV per atom: -3.752
Volume in Å³ per atom: 35.3
Polymorph energy (0 for the lowest one) in meV/atom: 292.2
DOS(E_F) in states/eV per atom: 1.76
Magnetic moment in μB/f.u.: 0.00


(11)
Material: Ca2TcRhO6
Method: DFT, PBE
State: relaxed

Cell lengths 5.504, 5.504, 4.177 Å; angles 90.00, 90.00, 90.00 degrees
Space group P4mm (No. 99)
One atom of each set of equivalent atoms:
Ca 0.000 0.500 0.000 x2
Tc 0.000 0.000 0.565 x1
Rh 0.500 0.500 0.593 x1
O 0.000 0.000 0.107 x1
O 0.245 0.245 0.631 x4
O 0.500 0.500 0.102 x1

Formation energy from raw total energies in eV per atom: -1.735
Final energy in eV per atom: -6.882
Volume in Å³ per atom: 12.7
DOS(E_F) in states/eV per atom: 0.60
Magnetic moment in μB/f.u.: 1.59


(12)
Material: LiAgPd4
Method: DFT, PBE
State: relaxed

Cell lengths 7.425, 7.425, 7.425 Å; angles 90.00, 90.00, 90.00 degrees
Space group F-43m (No. 216)
One atom of each set of equivalent atoms:
Li 0.000 0.000 0.000 x4
Ag 0.250 0.250 0.250 x4
Pd 0.125 0.125 0.625 x16

Final energy in eV per atom: -4.322
Volume in Å³ per atom: 17.1
Polymorph energy (0 for the lowest one) in meV/atom: 17.6
DOS(E_F) in states/eV per atom: 0.93
Magnetic moment in μB/f.u.: 0.00


(13)
Material: CsZnCd2Ag
Method: DFT, PBE
State: relaxed

Cell lengths 5.553, 5.553, 5.177 Å; angles 90.00, 90.00, 90.00 degrees
Space group P4/mmm (No. 123)
One atom of each set of equivalent atoms:
Cs 0.000 0.000 0.000 x1
Zn 0.500 0.500 0.000 x1
Cd 0.000 0.500 0.500 x2
Ag 0.500 0.500 0.500 x1

Final energy in eV per atom: -1.295
Volume in Å³ per atom: 31.9
Polymorph energy (0 for the lowest one) in meV/atom: 0.0
DOS(E_F) in states/eV per atom: 0.45
Magnetic moment in μB/f.u.: 0.00


(14)
Material: LiZnPO4
Method: DFT, PBE
State: relaxed

Cell lengths 13.8728, 13.8728, 9.2259 Å; angles 90.00, 90.00, 120.00 degrees
Space group R3 (No. 146, hexagonal axes)
One atom of each set of equivalent atoms:
Li 0.0119 0.8051 0.0000 x9
Li 0.1410 0.4542 0.1638 x9
Zn 0.0197 0.8072 0.3328 x9
Zn 0.1382 0.4596 0.4976 x9
P 0.0102 0.8020 0.6666 x9
P 0.1370 0.4572 0.8313 x9
O 0.0040 0.6869 0.6645 x9
O 0.0201 0.3506 0.8337 x9
O 0.0699 0.8666 0.8061 x9
O 0.0734 0.8705 0.5296 x9
O 0.1067 0.2138 0.1646 x9
O 0.2009 0.4613 0.6907 x9
O 0.2045 0.4601 0.9677 x9
O 0.2179 0.1070 0.6663 x9

Formation energy from raw total energies in eV per atom: -2.140
Final energy in eV per atom: -6.202
Volume in Å³ per atom: 12.2
Polymorph energy (0 for the lowest one) in meV/atom: 4.4
DOS(E_F) in states/eV per atom: 0.00
Magnetic moment in μB/f.u.: 0.00


(15)
Material: Tl5Ga3Cl12
Method: DFT, PBE
State: relaxed

Cell lengths 17.632, 17.632, 17.632 Å; angles 90.00, 90.00, 90.00 degrees
Space group Ia-3d (No. 230)
One atom of each set of equivalent atoms:
Tl 0.000 0.000 0.000 x16
Tl 0.000 0.250 0.375 x24
Ga 0.000 0.250 0.125 x24
Cl 0.030 0.072 0.660 x96

Formation energy from raw total energies in eV per atom: -0.686
Final energy in eV per atom: -2.840
Volume in Å³ per atom: 34.3
DOS(E_F) in states/eV per atom: 0.69
Magnetic moment in μB/f.u.: 0.00


(16)
Material: Ni2TeRh2
Method: DFT, PBE
State: relaxed

Cell lengths 7.101, 7.101, 2.997 Å; angles 90.00, 90.00, 90.00 degrees
Space group P4/mbm (No. 127)
One atom of each set of equivalent atoms:
Ni 0.156 0.344 0.000 x4
Te 0.000 0.000 0.500 x2
Rh 0.137 0.637 0.500 x4

Formation energy from raw total energies in eV per atom: 0.213
Final energy in eV per atom: -5.668
Volume in Å³ per atom: 15.1
Polymorph energy (0 for the lowest one) in meV/atom: 43.4
DOS(E_F) in states/eV per atom: 1.21
Magnetic moment in μB/f.u.: 1.92


(17)
Material: TiAl2Se
Method: DFT, PBE
State: relaxed

Cell lengths 7.462, 7.462, 5.328 Å; angles 90.00, 90.00, 90.00 degrees
Space group I-42d (No. 122)
One atom of each set of equivalent atoms:
Ti 0.000 0.000 0.000 x4
Al 0.232 0.750 0.625 x8
Se 0.000 0.000 0.500 x4

Formation energy from raw total energies in eV per atom: -0.003
Final energy in eV per atom: -4.719
Volume in Å³ per atom: 18.5
DOS(E_F) in states/eV per atom: 0.88
Magnetic moment in μB/f.u.: 0.00


(18)
Material: CsK2HCl
Method: DFT, PBE
State: relaxed

Cell lengths 5.287, 5.287, 7.409 Å; angles 90.00, 90.00, 90.00 degrees
Space group P4/mmm (No. 123)
One atom of each set of equivalent atoms:
Cs 0.000 0.000 0.000 x1
K 0.000 0.500 0.500 x2
H 0.000 0.000 0.500 x1
Cl 0.500 0.500 0.000 x1

Final energy in eV per atom: -2.260
Volume in Å³ per atom: 41.4
DOS(E_F) in states/eV per atom: 0.32
Magnetic moment in μB/f.u.: 0.67


(19)
Material: Tb3CSe2
Method: DFT, PBE
State: relaxed

Cell lengths 3.816, 5.602, 12.314 Å; angles 90.00, 90.00, 90.00 degrees
Space group Immm (No. 71)
One atom of each set of equivalent atoms:
Tb 0.000 0.000 0.000 x2
Tb 0.000 0.000 0.366 x4
C 0.000 0.500 0.000 x2
Se 0.000 0.500 0.325 x4

Formation energy from raw total energies in eV per atom: -1.356
Final energy in eV per atom: -6.369
Volume in Å³ per atom: 21.9
DOS(E_F) in states/eV per atom: 0.27
Magnetic moment in μB/f.u.: 0.00